1.
A relaxed Ce5Th3N8 crystal, computed with PBE.

Cell lengths 7.2277, 7.2277, 7.2127 Å; angles 59.93, 59.93, 60.00 degrees
Element x y z (fractional)
Ce1 0.5000 0.0000 0.0000
Ce2 0.5000 0.5000 0.0000
Ce3 0.0000 0.0000 0.0000
Ce4 0.0000 0.5000 0.0000
Ce5 0.5000 0.5000 0.5000
Th1 0.5000 0.0000 0.5000
Th2 0.0000 0.0000 0.5000
Th3 0.0000 0.5000 0.5000
N1 0.2500 0.2500 0.7515
N2 0.2500 0.7484 0.7515
N3 0.7484 0.2500 0.7515
N4 0.7493 0.7493 0.7521
N5 0.7500 0.7500 0.2485
N6 0.7500 0.2516 0.2485
N7 0.2516 0.7500 0.2485
N8 0.2507 0.2507 0.2479

Computed properties:
crystal system: trigonal
uncorrected energy: -8.9449 eV/atom
uncorrected formation energy: -1537 meV per atom
space-group type: R-3m (166)

2.
A relaxed TbPm2Dy5 crystal, computed with PBE.

Cell lengths 6.6249, 8.7897, 11.2240 Å; angles 78.91, 120.69, 112.20 degrees
Element x y z (fractional)
Tb1 0.7941 0.5877 0.7501
Tb2 0.2059 0.4123 0.2499
Pm1 0.8256 0.6264 0.4272
Pm2 0.8011 0.6257 0.0729
Pm3 0.1744 0.3736 0.5728
Pm4 0.1989 0.3743 0.9271
Dy1 0.8869 0.9833 0.8452
Dy2 0.0965 0.9819 0.6547
Dy3 0.4243 0.7987 0.4449
Dy4 0.3755 0.7986 0.0556
Dy5 0.6391 0.2799 0.2496
Dy6 0.3609 0.7201 0.7504
Dy7 0.5757 0.2013 0.5551
Dy8 0.6245 0.2014 0.9444
Dy9 0.1131 0.0167 0.1548
Dy10 0.9035 0.0181 0.3453

Computed properties:
crystal system: triclinic
uncorrected energy: -4.5057 eV/atom
formation enthalpy at 0 K: 0.137 eV/atom
relative energy among the computed polymorphs: 120.8 meV per atom
space-group type: P-1 (2)

3.
A relaxed HoNiPd crystal, computed with PBE.

Cell lengths 3.4370, 3.4370, 5.0942 Å; angles 109.72, 109.72, 90.00 degrees
Element x y z (fractional)
Ni1 0.9448 0.9448 0.8896
Ho1 0.6131 0.6131 0.2262
Pd1 0.2921 0.2921 0.5842

Computed properties:
crystal system: tetragonal
uncorrected energy: -5.6457 eV/atom
formation enthalpy at 0 K: -0.462 eV/atom
space-group type: I4mm (107)

4.
A relaxed Zr2TaTc crystal, computed with PBE.

Cell lengths 5.2364, 5.2364, 5.2364 Å; angles 131.86, 131.86, 70.45 degrees
Element x y z (fractional)
Ta1 0.2500 0.7500 0.5000
Tc1 0.7500 0.2500 0.5000
Zr1 0.0000 0.0000 0.0000
Zr2 0.5000 0.5000 0.0000

Computed properties:
crystal system: tetragonal
uncorrected energy: -9.6241 eV/atom
formation enthalpy at 0 K: 0.205 eV/atom
relative energy among the computed polymorphs: 396.3 meV per atom
space-group type: I4/mmm (139)

5.
A relaxed Nd2Sm4Y3 crystal, computed with PBE.

Cell lengths 6.0695, 11.4279, 11.4279 Å; angles 62.23, 64.04, 64.04 degrees
Element x y z (fractional)
Nd1 0.4229 0.2843 0.5064
Nd2 0.0771 0.4936 0.7157
Nd3 0.5771 0.7157 0.4936
Nd4 0.9229 0.5064 0.2843
Sm1 0.4196 0.9538 0.1707
Sm2 0.0804 0.8293 0.0462
Sm3 0.5804 0.0462 0.8293
Sm4 0.9196 0.1707 0.9538
Sm5 0.0845 0.1608 0.3790
Sm6 0.4155 0.6210 0.8392
Sm7 0.9155 0.8392 0.6210
Sm8 0.5845 0.3790 0.1608
Y1 0.7529 0.0163 0.3155
Y2 0.7471 0.6845 0.9837
Y3 0.2471 0.9837 0.6845
Y4 0.2529 0.3155 0.0163
Y5 0.2500 0.6496 0.3504
Y6 0.7500 0.3504 0.6496

Computed properties:
crystal system: monoclinic
uncorrected energy: -5.2272 eV/atom
formation enthalpy at 0 K: 0.084 eV/atom
space-group type: C2/c (15)

6.
A relaxed NaLi2TlGe crystal, computed with PBE.

Cell lengths 4.9679, 5.1262, 4.9679 Å; angles 90.00, 90.00, 90.00 degrees
Element x y z (fractional)
Na1 0.0000 0.0000 0.0000
Tl1 0.5000 0.5000 0.5000
Ge1 0.0000 0.5000 0.0000
Li1 0.0000 0.0000 0.5000
Li2 0.5000 0.0000 0.0000

Computed properties:
crystal system: tetragonal
uncorrected energy: -2.0351 eV/atom
formation enthalpy at 0 K: 0.391 eV/atom
space-group type: P4/mmm (123)